Record 1
## PuGaBi2 (PBE)

Data for crystalline PuGaBi2 at its relaxed geometry.

Cell lengths 4.161, 4.161, 6.407 Å; angles 90.00, 90.00, 90.00 degrees
Atoms (fractional coordinates):
Bi  0.000  0.000  0.248
Bi  0.000  0.000  0.752
Ga  0.500  0.500  0.000
Pu  0.500  0.500  0.500

Excess energy over the best structure of this formula in the dataset in meV per atom: 61

---

Record 2
## Ac2ZrNi (PBE)

Data for crystalline Ac2ZrNi at its relaxed geometry.

Cell lengths 3.764, 3.764, 10.592 Å; angles 79.76, 79.76, 60.00 degrees
Atoms (fractional coordinates):
Zr  0.000  0.000  0.000
Ac  0.105  0.105  0.684
Ac  0.895  0.895  0.316
Ni  0.500  0.500  0.500

---

Computed values of total magnetic moment (unit: μB/f.u.) for the preceding records, in sequence: 5.82 1.10.
Computed values of calculated formation energy (unit: eV/atom) for the preceding records, in sequence: -0.189 0.476.